1.
VASP calculation (GGA-PBEsol) on a relaxed structure of DyFe10Si2.

Computed properties:
* formation energy (no corrections): -0.264 eV/atom
* Fermi-level density of states: 0.8243 states/eV per atom
* mass density: 8315 kg/m³

a = 4.635 Å, b = 8.157 Å, c = 8.210 Å
α = 90.00°, β = 90.00°, γ = 90.00°
Space group Immm (No. 71)
One atom of each set of equivalent atoms:
Dy (0.000, 0.000, 0.000) [2 per cell]
Fe (0.000, 0.000, 0.362) [4 per cell]
Fe (0.000, 0.287, 0.500) [4 per cell]
Fe (0.000, 0.355, 0.000) [4 per cell]
Fe (0.250, 0.250, 0.250) [8 per cell]
Si (0.000, 0.500, 0.265) [4 per cell]

2.
VASP calculation (GGA-PBEsol) on a relaxed structure of DyFe2Si2.

Computed properties:
* formation energy (no corrections): -0.749 eV/atom
* Fermi-level density of states: 1.0616 states/eV per atom
* mass density: 7630 kg/m³

a = 3.906 Å, b = 3.906 Å, c = 9.423 Å
α = 90.00°, β = 90.00°, γ = 90.00°
Space group I4/mmm (No. 139)
One atom of each set of equivalent atoms:
Dy (0.000, 0.000, 0.000) [2 per cell]
Fe (0.000, 0.500, 0.250) [4 per cell]
Si (0.000, 0.000, 0.366) [4 per cell]

3.
VASP calculation (GGA-PBEsol) on a relaxed structure of Dy2Fe3Si5.

Computed properties:
* formation energy (no corrections): -0.798 eV/atom
* Fermi-level density of states: 0.5369 states/eV per atom
* mass density: 7410 kg/m³

a = 10.244 Å, b = 10.244 Å, c = 5.407 Å
α = 90.00°, β = 90.00°, γ = 90.00°
Space group P4/mnc (No. 128)
One atom of each set of equivalent atoms:
Dy (0.069, 0.236, 0.000) [8 per cell]
Fe (0.000, 0.500, 0.250) [4 per cell]
Fe (0.123, 0.855, 0.500) [8 per cell]
Si (0.000, 0.000, 0.267) [4 per cell]
Si (0.023, 0.320, 0.500) [8 per cell]
Si (0.178, 0.678, 0.250) [8 per cell]

4.
VASP calculation (GGA-PBEsol) on a relaxed structure of Dy3Fe2Si7.

Computed properties:
* formation energy (no corrections): -0.713 eV/atom
* Fermi-level density of states: 0.4955 states/eV per atom
* mass density: 6805 kg/m³

a = 3.970 Å, b = 24.259 Å, c = 4.032 Å
α = 90.00°, β = 90.00°, γ = 90.00°
Space group Cmmm (No. 65)
One atom of each set of equivalent atoms:
Dy (0.000, 0.000, 0.000) [2 per cell]
Dy (0.000, 0.316, 0.500) [4 per cell]
Fe (0.000, 0.127, 0.000) [4 per cell]
Si (0.000, 0.089, 0.500) [4 per cell]
Si (0.000, 0.220, 0.000) [4 per cell]
Si (0.000, 0.411, 0.000) [4 per cell]
Si (0.000, 0.500, 0.500) [2 per cell]

5.
VASP calculation (GGA-PBEsol) on a relaxed structure of Dy2FeSi2.

Computed properties:
* formation energy (no corrections): -0.766 eV/atom
* Fermi-level density of states: 0.5766 states/eV per atom
* mass density: 7983 kg/m³

a = 10.373 Å, b = 4.088 Å, c = 9.870 Å
α = 90.00°, β = 119.69°, γ = 90.00°
Space group C2/m (No. 12)
One atom of each set of equivalent atoms:
Dy (0.002, 0.000, 0.173) [4 per cell]
Dy (0.189, 0.000, 0.608) [4 per cell]
Fe (0.228, 0.500, 0.877) [4 per cell]
Si (0.002, 0.500, 0.628) [4 per cell]
Si (0.156, 0.500, 0.064) [4 per cell]

6.
VASP calculation (GGA-PBEsol) on a relaxed structure of SmDyFe4.

Computed properties:
* Fermi-level density of states: 1.2257 states/eV per atom
* energy of formation from the pure elements: -0.0228 eV/atom
* mass density: 9797 kg/m³

a = 7.137 Å, b = 7.137 Å, c = 7.137 Å
α = 90.00°, β = 90.00°, γ = 90.00°
Space group F-43m (No. 216)
One atom of each set of equivalent atoms:
Sm (0.000, 0.000, 0.000) [4 per cell]
Dy (0.250, 0.250, 0.250) [4 per cell]
Fe (0.125, 0.125, 0.625) [16 per cell]

7.
VASP calculation (GGA-PBEsol) on a relaxed structure of DyYFe4.

Computed properties:
* Fermi-level density of states: 1.0052 states/eV per atom
* energy of formation from the pure elements: -0.0732 eV/atom
* mass density: 8815 kg/m³

a = 7.099 Å, b = 7.099 Å, c = 7.099 Å
α = 90.00°, β = 90.00°, γ = 90.00°
Space group F-43m (No. 216)
One atom of each set of equivalent atoms:
Dy (0.000, 0.000, 0.000) [4 per cell]
Y (0.250, 0.250, 0.750) [4 per cell]
Fe (0.125, 0.125, 0.375) [16 per cell]

8.
VASP calculation (GGA-PBEsol) on a relaxed structure of Dy5Ga3.

Computed properties:
* Fermi-level density of states: 0.8640 states/eV per atom
* energy of formation from the pure elements: -0.5059 eV/atom
* mass density: 8677 kg/m³

a = 7.481 Å, b = 7.481 Å, c = 13.974 Å
α = 90.00°, β = 90.00°, γ = 90.00°
Space group I4/mcm (No. 140)
One atom of each set of equivalent atoms:
Dy (0.000, 0.000, 0.000) [4 per cell]
Dy (0.171, 0.329, 0.148) [16 per cell]
Ga (0.000, 0.000, 0.250) [4 per cell]
Ga (0.121, 0.379, 0.500) [8 per cell]

9.
VASP calculation (GGA-PBEsol) on a relaxed structure of Dy3Ga2.

Computed properties:
* Fermi-level density of states: 0.5785 states/eV per atom
* energy of formation from the pure elements: -0.5609 eV/atom
* mass density: 8720 kg/m³

a = 11.415 Å, b = 11.415 Å, c = 14.661 Å
α = 90.00°, β = 90.00°, γ = 90.00°
Space group I4/mcm (No. 140)
One atom of each set of equivalent atoms:
Dy (0.000, 0.500, 0.148) [8 per cell]
Dy (0.067, 0.202, 0.135) [32 per cell]
Dy (0.169, 0.331, 0.500) [8 per cell]
Ga (0.000, 0.000, 0.000) [4 per cell]
Ga (0.000, 0.000, 0.250) [4 per cell]
Ga (0.117, 0.383, 0.000) [8 per cell]
Ga (0.178, 0.322, 0.298) [16 per cell]

10.
VASP calculation (GGA-PBEsol) on a relaxed structure of DyGa3.

Computed properties:
* Fermi-level density of states: 0.3108 states/eV per atom
* energy of formation from the pure elements: -0.5920 eV/atom
* mass density: 8407 kg/m³

a = 6.0947 Å, b = 6.0947 Å, c = 27.3854 Å
α = 90.00°, β = 90.00°, γ = 120.00°
Space group R-3m (No. 166, hexagonal axes)
One atom of each set of equivalent atoms:
Dy (0.0000, 0.0000, 0.1306) [6 per cell]
Dy (0.0000, 0.0000, 0.2882) [6 per cell]
Ga (0.0065, 0.5033, 0.7085) [18 per cell]
Ga (0.0444, 0.5222, 0.1239) [18 per cell]

11.
VASP calculation (GGA-PBEsol) on a relaxed structure of DyGa.

Computed properties:
* Fermi-level density of states: 0.8747 states/eV per atom
* energy of formation from the pure elements: -0.6561 eV/atom
* mass density: 8412 kg/m³

a = 4.275 Å, b = 10.751 Å, c = 3.990 Å
α = 90.00°, β = 90.00°, γ = 90.00°
Space group Cmcm (No. 63)
One atom of each set of equivalent atoms:
Dy (0.000, 0.140, 0.250) [4 per cell]
Ga (0.000, 0.424, 0.250) [4 per cell]

12.
VASP calculation (GGA-PBEsol) on a relaxed structure of Dy3Ga5.

Computed properties:
* Fermi-level density of states: 0.4970 states/eV per atom
* energy of formation from the pure elements: -0.7070 eV/atom
* mass density: 8601 kg/m³

a = 11.290 Å, b = 9.526 Å, c = 6.003 Å
α = 90.00°, β = 90.00°, γ = 90.00°
Space group Pnma (No. 62)
One atom of each set of equivalent atoms:
Dy (0.074, 0.250, 0.154) [4 per cell]
Dy (0.148, 0.509, 0.610) [8 per cell]
Ga (0.005, 0.250, 0.632) [4 per cell]
Ga (0.090, 0.553, 0.126) [8 per cell]
Ga (0.200, 0.750, 0.900) [4 per cell]
Ga (0.248, 0.750, 0.327) [4 per cell]